A plane-wave DFT calculation with PBE was carried out for crystalline Pm5Pb3 at its relaxed geometry.

Cell and atoms, written as POSCAR:
```
Pm5Pb3
1.0
-8.4842 0.5279 3.8105
1.8718 -6.5969 -6.3053
1.9826 -4.2149 4.9983
Pb Pm
6 10
direct
0.3944 0.0000 0.2500 Pb
0.0000 0.3944 0.2500 Pb
0.6056 0.6056 0.2500 Pb
0.6056 0.0000 0.7500 Pb
0.3944 0.3944 0.7500 Pb
0.0000 0.6056 0.7500 Pb
0.6667 0.3333 0.0000 Pm
0.3333 0.6667 0.0000 Pm
0.7616 0.0000 0.2500 Pm
0.2384 0.2384 0.2500 Pm
0.0000 0.7616 0.2500 Pm
0.6667 0.3333 0.5000 Pm
0.3333 0.6667 0.5000 Pm
0.2384 0.0000 0.7500 Pm
0.0000 0.2384 0.7500 Pm
0.7616 0.7616 0.7500 Pm
```

Output
Size of the total moment in μB/atom: 0.00
Total DFT energy (no corrections) in eV per atom: -4.9071
V in Å³ per cell: 513
Space group: P6_3/mcm

=====

A plane-wave DFT calculation with PBE was carried out for crystalline NaHfGeIr at its relaxed geometry.

Cell and atoms, written as POSCAR:
```
NaHfGeIr
1.0
0.0918 -4.4763 -0.7609
-3.5687 -2.0507 -1.9193
0.3007 -1.5754 -4.2488
Ge Hf Ir Na
1 1 1 1
direct
0.0000 0.0000 0.0000 Ge
0.5000 0.5000 0.5000 Hf
0.2500 0.2500 0.2500 Ir
0.7500 0.7500 0.7500 Na
```

Output
Size of the total moment in μB/atom: 0.00
Total DFT energy (no corrections) in eV per atom: -6.5437
Energy above the lowest structure with this stoichiometry in meV/atom: 0
V in Å³ per cell: 66
Space group: F-43m